Below is InSi2Sb after structural relaxation, with properties calculated at the GGA-PBEsol level.

Geometry as POSCAR:
```
InSi2Sb
1.0
3.7467 0.0000 0.0000
-1.8733 3.2499 -0.0268
0.0000 -2.1197 7.0614
Sb Si In
1 2 1
direct
0.2614 0.5228 0.7838
0.0150 0.0300 0.0457
0.7347 0.4693 0.2032
0.4889 0.9778 0.4673
```

Calculated values
The value obtained for the total energy is -0.3360 Ry/atom. Its relative energy among the computed polymorphs is 0.0000 eV per atom. The size of the total moment is 0.00 Bohr magnetons per cell. Its energy relative to the elements, uncorrected is 0.19 eV/atom. For the density of states at the Fermi level, the calculation gives 1.9 states/eV/cell.